Compound: Rb4Zr3Te16
Source: the Open Quantum Materials Database
Functional: PBE-GGA
Structure: optimized geometry

Summary:
Symmetry = C2/c, No. 15
Raw total energy = -96.33 eV/f.u.

Cell and atoms, written as CIF:
```
data_Rb4Zr3Te16
_space_group_name_H-M_alt 'P 1'
_space_group_IT_number 1
_cell_length_a 11.326
_cell_length_b 11.326
_cell_length_c 15.514
_cell_angle_alpha 96.49
_cell_angle_beta 96.49
_cell_angle_gamma 115.22
loop_
_space_group_symop_operation_xyz
'x,y,z'
loop_
_atom_site_label
_atom_site_type_symbol
_atom_site_fract_x
_atom_site_fract_y
_atom_site_fract_z
Rb1 Rb 0.045 0.749 0.567
Rb2 Rb 0.249 0.522 0.127
Rb3 Rb 0.251 0.955 0.933
Rb4 Rb 0.478 0.751 0.373
Rb5 Rb 0.522 0.249 0.627
Rb6 Rb 0.749 0.045 0.067
Rb7 Rb 0.751 0.478 0.873
Rb8 Rb 0.955 0.251 0.433
Zr1 Zr 0.063 0.294 0.771
Zr2 Zr 0.294 0.063 0.271
Zr3 Zr 0.389 0.611 0.750
Zr4 Zr 0.611 0.389 0.250
Zr5 Zr 0.706 0.937 0.729
Zr6 Zr 0.937 0.706 0.229
Te1 Te 0.031 0.670 0.061
Te2 Te 0.053 0.922 0.126
Te3 Te 0.078 0.947 0.374
Te4 Te 0.097 0.614 0.339
Te5 Te 0.121 0.581 0.784
Te6 Te 0.147 0.227 0.243
Te7 Te 0.227 0.147 0.743
Te8 Te 0.251 0.351 0.630
Te9 Te 0.304 0.601 0.559
Te10 Te 0.330 0.969 0.439
Te11 Te 0.340 0.416 0.872
Te12 Te 0.351 0.251 0.130
Te13 Te 0.386 0.903 0.161
Te14 Te 0.399 0.696 0.941
Te15 Te 0.416 0.340 0.372
Te16 Te 0.419 0.879 0.716
Te17 Te 0.581 0.121 0.284
Te18 Te 0.584 0.660 0.628
Te19 Te 0.601 0.304 0.059
Te20 Te 0.614 0.097 0.839
Te21 Te 0.649 0.749 0.870
Te22 Te 0.660 0.584 0.128
Te23 Te 0.670 0.031 0.561
Te24 Te 0.696 0.399 0.441
Te25 Te 0.749 0.649 0.370
Te26 Te 0.773 0.853 0.257
Te27 Te 0.853 0.773 0.757
Te28 Te 0.879 0.419 0.216
Te29 Te 0.903 0.386 0.661
Te30 Te 0.922 0.053 0.626
Te31 Te 0.947 0.078 0.874
Te32 Te 0.969 0.330 0.939
```

=====

Compound: Rb2Th
Source: the Open Quantum Materials Database
Functional: PBE-GGA
Structure: optimized geometry

Summary:
Symmetry = Fd-3m, No. 227
Raw total energy = -2.90 eV/f.u.

Cell and atoms, written as CIF:
```
data_Rb2Th
_space_group_name_H-M_alt 'P 1'
_space_group_IT_number 1
_cell_length_a 12.861
_cell_length_b 12.861
_cell_length_c 12.861
_cell_angle_alpha 60.00
_cell_angle_beta 60.00
_cell_angle_gamma 60.00
loop_
_space_group_symop_operation_xyz
'x,y,z'
loop_
_atom_site_label
_atom_site_type_symbol
_atom_site_fract_x
_atom_site_fract_y
_atom_site_fract_z
Rb1 Rb 0.000 0.000 0.000
Rb2 Rb 0.000 0.000 0.500
Rb3 Rb 0.000 0.500 0.000
Rb4 Rb 0.500 0.000 0.000
Th1 Th 0.125 0.125 0.125
Th2 Th 0.875 0.875 0.875
```

=====

Compound: RbTmTh
Source: the Open Quantum Materials Database
Functional: PBE-GGA
Structure: optimized geometry

Summary:
Symmetry = F-43m, No. 216
Raw total energy = -8.47 eV/f.u.

Cell and atoms, written as CIF:
```
data_RbTmTh
_space_group_name_H-M_alt 'P 1'
_space_group_IT_number 1
_cell_length_a 5.801
_cell_length_b 5.801
_cell_length_c 5.801
_cell_angle_alpha 60.00
_cell_angle_beta 60.00
_cell_angle_gamma 60.00
loop_
_space_group_symop_operation_xyz
'x,y,z'
loop_
_atom_site_label
_atom_site_type_symbol
_atom_site_fract_x
_atom_site_fract_y
_atom_site_fract_z
Rb1 Rb 0.000 0.000 0.000
Tm1 Tm 0.250 0.250 0.250
Th1 Th 0.500 0.500 0.500
```

=====

Compound: RbThU
Source: the Open Quantum Materials Database
Functional: PBE-GGA
Structure: optimized geometry

Summary:
Symmetry = F-43m, No. 216
Raw total energy = -13.60 eV/f.u.

Cell and atoms, written as CIF:
```
data_RbThU
_space_group_name_H-M_alt 'P 1'
_space_group_IT_number 1
_cell_length_a 5.605
_cell_length_b 5.605
_cell_length_c 5.605
_cell_angle_alpha 60.00
_cell_angle_beta 60.00
_cell_angle_gamma 60.00
loop_
_space_group_symop_operation_xyz
'x,y,z'
loop_
_atom_site_label
_atom_site_type_symbol
_atom_site_fract_x
_atom_site_fract_y
_atom_site_fract_z
Rb1 Rb 0.000 0.000 0.000
Th1 Th 0.500 0.500 0.500
U1 U 0.250 0.250 0.250
```